(1)
Computed, not measured: an optimized crystal structure of GaTeO3 at the GGA-PBE level of DFT.

Cell lengths 3.849, 3.849, 3.849 Å; angles 90.00, 90.00, 90.00 degrees
Fractional coordinates of all 5 atoms:
O 0.500 0.000 0.000
O 0.000 0.000 0.500
Te 0.500 0.500 0.500
O 0.000 0.500 0.000
Ga 0.000 0.000 0.000

Computed properties:
Its magnetic moment is 0.00 μB per formula unit. The uncorrected formation energy is -770 meV/atom. Its space-group type is Pm-3m, No. 221.

---

(2)
Computed, not measured: an optimized crystal structure of Ga3TeO at the GGA-PBE level of DFT.

Cell lengths 5.719, 5.719, 5.719 Å; angles 90.00, 90.00, 90.00 degrees
Fractional coordinates of all 5 atoms:
Ga 0.000 0.500 0.000
Te 0.000 0.000 0.000
Ga 0.500 0.000 0.000
O 0.500 0.500 0.500
Ga 0.000 0.000 0.500

Computed properties:
Its magnetic moment is 0.00 μB per formula unit. The distance to the lowest polymorph of the same formula comes out at 1.167 eV per atom. The uncorrected formation energy is 896 meV/atom. Its space-group type is Pm-3m, No. 221.

---

(3)
Computed, not measured: an optimized crystal structure of GaTeO2 at the GGA-PBE level of DFT.

Cell lengths 4.249, 4.249, 4.249 Å; angles 60.00, 60.00, 60.00 degrees
Fractional coordinates of all 4 atoms:
O 0.750 0.750 0.750
O 0.250 0.250 0.250
Ga 0.000 0.000 0.000
Te 0.500 0.500 0.500

Computed properties:
Its magnetic moment is 0.00 μB per formula unit. The distance to the lowest polymorph of the same formula comes out at 1.108 eV per atom. The uncorrected formation energy is 5 meV/atom. Its space-group type is Fm-3m, No. 225.

---

(4)
Computed, not measured: an optimized crystal structure of GaTe2O at the GGA-PBE level of DFT.

Cell lengths 7.414, 7.414, 7.414 Å; angles 33.90, 33.90, 33.90 degrees
Fractional coordinates of all 4 atoms:
Te 0.097 0.097 0.097
Te 0.903 0.903 0.903
O 0.000 0.000 0.000
Ga 0.500 0.500 0.500

Computed properties:
Its magnetic moment is 0.00 μB per formula unit. The distance to the lowest polymorph of the same formula comes out at 0.000 eV per atom. The uncorrected formation energy is -105 meV/atom. Its space-group type is R-3m, No. 166.

---

(5)
Computed, not measured: an optimized crystal structure of GaTe3O at the GGA-PBE level of DFT.

Cell lengths 5.268, 5.268, 5.268 Å; angles 90.00, 90.00, 90.00 degrees
Fractional coordinates of all 5 atoms:
Te 0.000 0.500 0.000
Ga 0.000 0.000 0.000
Te 0.500 0.000 0.000
Te 0.000 0.000 0.500
O 0.500 0.500 0.500

Computed properties:
Its magnetic moment is 0.00 μB per formula unit. The distance to the lowest polymorph of the same formula comes out at 0.880 eV per atom. The uncorrected formation energy is 962 meV/atom. Its space-group type is Pm-3m, No. 221.

---

(6)
Computed, not measured: an optimized crystal structure of GaTeO4 at the GGA-PBE level of DFT.

Cell lengths 4.875, 5.831, 6.836 Å; angles 93.21, 127.24, 88.84 degrees
Fractional coordinates of all 12 atoms:
Ga 0.588 0.265 0.033
Ga 0.412 0.735 0.967
O 0.421 0.492 0.150
Te 0.000 0.000 0.500
O 0.579 0.508 0.850
O 0.527 0.991 0.197
Te 0.500 0.500 0.500
O 0.068 0.233 0.327
O 0.108 0.758 0.355
O 0.473 0.009 0.803
O 0.932 0.767 0.673
O 0.892 0.242 0.645

Computed properties:
Its magnetic moment is 0.00 μB per formula unit. The distance to the lowest polymorph of the same formula comes out at 0.000 eV per atom. The uncorrected formation energy is -1247 meV/atom. Its space-group type is P-1, No. 2.

---

(7)
Computed, not measured: an optimized crystal structure of GaTe2O at the GGA-PBE level of DFT.

Cell lengths 4.754, 4.754, 4.754 Å; angles 60.00, 60.00, 60.00 degrees
Fractional coordinates of all 4 atoms:
Ga 0.500 0.500 0.500
Te 0.750 0.750 0.750
O 0.000 0.000 0.000
Te 0.250 0.250 0.250

Computed properties:
Its magnetic moment is 0.00 μB per formula unit. The distance to the lowest polymorph of the same formula comes out at 0.385 eV per atom. The uncorrected formation energy is 280 meV/atom. Its space-group type is Fm-3m, No. 225.

---

(8)
Computed, not measured: an optimized crystal structure of GaTe3O at the GGA-PBE level of DFT.

Cell lengths 4.883, 4.883, 4.883 Å; angles 90.00, 90.00, 90.00 degrees
Fractional coordinates of all 5 atoms:
Te 0.000 0.500 0.000
Te 0.000 0.000 0.500
Te 0.500 0.000 0.000
Ga 0.500 0.500 0.500
O 0.000 0.000 0.000

Computed properties:
Its magnetic moment is 0.00 μB per formula unit. The distance to the lowest polymorph of the same formula comes out at 0.000 eV per atom. The uncorrected formation energy is 82 meV/atom. Its space-group type is Pm-3m, No. 221.

---

(9)
Computed, not measured: an optimized crystal structure of TlGa2TeO6 at the GGA-PBE level of DFT.

Cell lengths 5.711, 7.242, 7.242 Å; angles 88.37, 81.36, 81.36 degrees
Fractional coordinates of all 20 atoms:
O 0.439 0.633 0.738
O 0.096 0.623 0.161
Tl 0.750 0.097 0.903
O 0.842 0.953 0.271
O 0.561 0.367 0.262
Te 0.750 0.701 0.299
O 0.404 0.839 0.377
O 0.658 0.729 0.047
Ga 0.241 0.805 0.615
O 0.158 0.047 0.729
O 0.596 0.161 0.623
O 0.904 0.377 0.839
O 0.061 0.262 0.367
Ga 0.259 0.385 0.195
Tl 0.250 0.903 0.097
Te 0.250 0.299 0.701
O 0.939 0.738 0.633
Ga 0.759 0.195 0.385
O 0.342 0.271 0.953
Ga 0.741 0.615 0.805

Computed properties:
Its magnetic moment is 0.00 μB per formula unit. The uncorrected formation energy is -1259 meV/atom. Its space-group type is C2/c, No. 15.

---

(10)
Computed, not measured: an optimized crystal structure of TlGa2TeO8 at the GGA-PBE level of DFT.

Cell lengths 5.769, 5.769, 5.769 Å; angles 110.14, 110.14, 108.14 degrees
Fractional coordinates of all 12 atoms:
O 0.309 0.106 0.796
O 0.711 0.037 0.675
Ga 0.500 0.500 0.000
O 0.963 0.638 0.675
O 0.362 0.037 0.325
Te 0.250 0.750 0.500
Tl 0.000 0.000 0.000
O 0.894 0.691 0.204
Ga 0.750 0.250 0.500
O 0.487 0.691 0.796
O 0.963 0.289 0.325
O 0.309 0.513 0.204

Computed properties:
Its magnetic moment is 0.00 μB per formula unit. The uncorrected formation energy is -882 meV/atom. Its space-group type is I-4m2, No. 119.

---

(11)
Computed, not measured: an optimized crystal structure of TlGaTe2O6 at the GGA-PBE level of DFT.

Cell lengths 8.994, 7.561, 7.561 Å; angles 100.38, 68.83, 68.83 degrees
Fractional coordinates of all 20 atoms:
Te 0.125 0.480 0.270
O 0.790 0.004 0.249
O 0.421 0.599 0.700
Tl 0.750 0.079 0.921
O 0.934 0.546 0.204
O 0.434 0.204 0.546
Te 0.875 0.520 0.730
Ga 0.250 0.224 0.776
Ga 0.750 0.776 0.224
O 0.210 0.996 0.751
O 0.921 0.700 0.599
Tl 0.250 0.921 0.079
Te 0.375 0.730 0.520
O 0.579 0.401 0.300
O 0.710 0.751 0.996
O 0.290 0.249 0.004
O 0.566 0.796 0.454
Te 0.625 0.270 0.480
O 0.066 0.454 0.796
O 0.079 0.300 0.401

Computed properties:
Its magnetic moment is 0.00 μB per formula unit. The uncorrected formation energy is -1171 meV/atom. Its space-group type is C2/c, No. 15.

---

(12)
Computed, not measured: an optimized crystal structure of Tl2GaTeO6 at the GGA-PBE level of DFT.

Cell lengths 5.813, 5.813, 10.123 Å; angles 73.31, 73.31, 60.00 degrees
Fractional coordinates of all 20 atoms:
Tl 0.725 0.725 0.825
O 0.604 0.604 0.633
O 0.197 0.727 0.878
O 0.159 0.604 0.633
Tl 0.126 0.126 0.621
O 0.396 0.396 0.367
O 0.396 0.841 0.367
O 0.803 0.273 0.122
Ga 0.598 0.598 0.205
Tl 0.275 0.275 0.175
O 0.273 0.803 0.122
O 0.803 0.803 0.122
Te 0.500 0.500 0.500
O 0.197 0.197 0.878
O 0.727 0.197 0.878
O 0.604 0.159 0.633
O 0.841 0.396 0.367
Tl 0.874 0.874 0.379
Te 0.000 0.000 0.000
Ga 0.402 0.402 0.795

Computed properties:
Its magnetic moment is 0.00 μB per formula unit. The uncorrected formation energy is -927 meV/atom. Its space-group type is R-3m, No. 166.

---

Number 10 is which compound?
TlGa2TeO8